Entry 1:
Compound: PrSmIrAu
Source: the Alexandria database
Functional: PBE
Structure: optimized geometry

Summary:
The calculation puts the energy of formation from the pure elements at -0.722 eV per atom.

Unit cell a=4.6029 b=5.7717 c=5.7717 alpha=40.11 beta=90.00 gamma=90.00
Fractional coordinates of all 4 atoms:
Pr  0.0000  0.0000  0.0000
Sm  0.5000  0.2784  0.2784
Ir  0.0000  0.7313  0.7313
Au  0.5000  0.5604  0.5604

=====

Entry 2:
Compound: SrPrIrAu
Source: the Alexandria database
Functional: PBE
Structure: optimized geometry

Summary:
The calculation puts the energy of formation from the pure elements at -0.493 eV per atom.

Unit cell a=5.1896 b=5.1896 c=5.1896 alpha=60.00 beta=60.00 gamma=60.00
Fractional coordinates of all 4 atoms:
Sr  0.0000  0.0000  0.0000
Pr  0.5000  0.5000  0.5000
Ir  0.7500  0.7500  0.7500
Au  0.2500  0.2500  0.2500

=====

Entry 3:
Compound: TbPrIrAu
Source: the Alexandria database
Functional: PBE
Structure: optimized geometry

Summary:
The calculation puts the energy of formation from the pure elements at -0.706 eV per atom.

Unit cell a=5.0799 b=5.0799 c=5.0799 alpha=60.00 beta=60.00 gamma=60.00
Fractional coordinates of all 4 atoms:
Tb  0.0000  0.0000  0.0000
Pr  0.5000  0.5000  0.5000
Ir  0.7500  0.7500  0.7500
Au  0.2500  0.2500  0.2500

=====

Entry 4:
Compound: TbPrIrAu
Source: the Alexandria database
Functional: PBE
Structure: optimized geometry

Summary:
The calculation puts the energy of formation from the pure elements at -0.744 eV per atom.

Unit cell a=4.5998 b=5.7186 c=5.7186 alpha=39.94 beta=90.00 gamma=90.00
Fractional coordinates of all 4 atoms:
Tb  0.0000  0.0000  0.0000
Pr  0.5000  0.7211  0.7211
Ir  0.5000  0.4535  0.4535
Au  0.0000  0.2829  0.2829

=====

Entry 5:
Compound: IrPt2Au
Source: the Alexandria database
Functional: PBE
Structure: optimized geometry

Summary:
The calculation puts the energy of formation from the pure elements at 0.454 eV per atom.

Unit cell a=9.6249 b=9.6249 c=9.6249 alpha=156.78 beta=156.78 gamma=33.07
Fractional coordinates of all 8 atoms:
Ir  0.0000  0.0000  0.0000
Ir  0.7500  0.2500  0.5000
Pt  0.1119  0.6250  0.9869
Pt  0.3750  0.3619  0.4869
Pt  0.6381  0.1250  0.0131
Pt  0.8750  0.8881  0.5131
Au  0.2500  0.7500  0.5000
Au  0.5000  0.5000  0.0000

=====

Entry 6:
Compound: IrPt2Au
Source: the Alexandria database
Functional: PBE
Structure: optimized geometry

Summary:
The calculation puts the energy of formation from the pure elements at 0.067 eV per atom.

Unit cell a=9.4691 b=9.4691 c=9.4691 alpha=17.06 beta=17.06 gamma=17.06
Fractional coordinates of all 4 atoms:
Ir  0.0000  0.0000  0.0000
Pt  0.2539  0.2539  0.2539
Pt  0.7461  0.7461  0.7461
Au  0.5000  0.5000  0.5000

=====

Entry 7:
Compound: IrPtAu
Source: the Alexandria database
Functional: PBE
Structure: optimized geometry

Summary:
The calculation puts the energy of formation from the pure elements at 0.200 eV per atom.

Unit cell a=2.8193 b=4.9096 c=7.4586 alpha=71.08 beta=79.46 gamma=89.84
Fractional coordinates of all 6 atoms:
Ir  0.2493  0.2531  0.0008
Ir  0.7507  0.7469  0.9992
Pt  0.4100  0.7479  0.6789
Pt  0.5900  0.2521  0.3211
Au  0.0821  0.7503  0.3342
Au  0.9179  0.2497  0.6658

=====

Entry 8:
Compound: IrPt2Au
Source: the Alexandria database
Functional: PBE
Structure: optimized geometry

Summary:
The calculation puts the energy of formation from the pure elements at 0.157 eV per atom.

Unit cell a=4.9060 b=4.9060 c=2.8097 alpha=90.00 beta=90.00 gamma=110.02
Fractional coordinates of all 4 atoms:
Ir  0.0000  0.0000  0.0000
Pt  0.0000  0.5000  0.5000
Pt  0.5000  0.0000  0.5000
Au  0.5000  0.5000  0.0000

=====

Entry 9:
Compound: IrPt2Au
Source: the Alexandria database
Functional: PBE
Structure: optimized geometry

Summary:
The calculation puts the energy of formation from the pure elements at 0.341 eV per atom.

Unit cell a=4.5002 b=4.5002 c=4.5002 alpha=60.00 beta=60.00 gamma=60.00
Fractional coordinates of all 4 atoms:
Ir  0.0000  0.0000  0.0000
Pt  0.5000  0.5000  0.5000
Pt  0.7500  0.7500  0.7500
Au  0.2500  0.2500  0.2500

=====

Entry 10:
Compound: IrPt2Au
Source: the Alexandria database
Functional: PBE
Structure: optimized geometry

Summary:
The calculation puts the energy of formation from the pure elements at 0.084 eV per atom.

Unit cell a=2.8179 b=2.8179 c=8.0518 alpha=90.00 beta=90.00 gamma=90.00
Fractional coordinates of all 4 atoms:
Ir  0.0000  0.0000  0.0000
Pt  0.5000  0.5000  0.2328
Pt  0.5000  0.5000  0.7672
Au  0.0000  0.0000  0.5000

=====

Entry 11:
Compound: IrPtAu
Source: the Alexandria database
Functional: PBE
Structure: optimized geometry

Summary:
The calculation puts the energy of formation from the pure elements at 0.261 eV per atom.

Unit cell a=7.6867 b=7.4207 c=2.7931 alpha=84.77 beta=74.02 gamma=21.21
Fractional coordinates of all 3 atoms:
Ir  0.0000  0.0000  0.0000
Pt  0.6596  0.6596  0.3404
Au  0.3318  0.3318  0.6682

=====

Entry 12:
Compound: IrPt2Au
Source: the Alexandria database
Functional: PBE
Structure: optimized geometry

Summary:
The calculation puts the energy of formation from the pure elements at 0.229 eV per atom.

Unit cell a=3.9877 b=3.9877 c=4.0041 alpha=90.00 beta=90.00 gamma=90.00
Fractional coordinates of all 4 atoms:
Ir  0.0000  0.0000  0.0000
Pt  0.0000  0.5000  0.5000
Pt  0.5000  0.0000  0.5000
Au  0.5000  0.5000  0.0000

=====

Entry 13:
Compound: IrPtAu
Source: the Alexandria database
Functional: PBE
Structure: optimized geometry

Summary:
The calculation puts the energy of formation from the pure elements at 0.191 eV per atom.

Unit cell a=2.8289 b=2.8289 c=6.9293 alpha=90.00 beta=90.00 gamma=120.00
Fractional coordinates of all 3 atoms:
Ir  0.0000  0.0000  0.0000
Pt  0.3333  0.6667  0.3149
Au  0.6667  0.3333  0.6604

=====

Entry 14:
Compound: IrPt2Au
Source: the Alexandria database
Functional: PBE
Structure: optimized geometry

Summary:
The calculation puts the energy of formation from the pure elements at 0.190 eV per atom.

Unit cell a=4.8644 b=4.8644 c=4.9387 alpha=100.22 beta=100.22 gamma=33.75
Fractional coordinates of all 4 atoms:
Ir  0.0000  0.0000  0.0000
Pt  0.2567  0.2567  0.7609
Pt  0.7433  0.7433  0.2391
Au  0.5000  0.5000  0.5000

=====

Entry 15:
Compound: IrPt2Au2
Source: the Alexandria database
Functional: PBE
Structure: optimized geometry

Summary:
The calculation puts the energy of formation from the pure elements at 0.476 eV per atom.

Unit cell a=6.6942 b=6.6942 c=3.9853 alpha=90.00 beta=90.00 gamma=90.00
Fractional coordinates of all 10 atoms:
Ir  0.0000  0.0000  0.0000
Ir  0.5000  0.5000  0.0000
Pt  0.1377  0.3623  0.0000
Pt  0.3623  0.8623  0.0000
Pt  0.6377  0.1377  0.0000
Pt  0.8623  0.6377  0.0000
Au  0.1669  0.6669  0.5000
Au  0.3331  0.1669  0.5000
Au  0.6669  0.8331  0.5000
Au  0.8331  0.3331  0.5000

=====

Entry 16:
Compound: IrPt2Au
Source: the Alexandria database
Functional: PBE
Structure: optimized geometry

Summary:
The calculation puts the energy of formation from the pure elements at 0.158 eV per atom.

Unit cell a=2.8141 b=2.8141 c=8.0702 alpha=90.00 beta=90.00 gamma=90.00
Fractional coordinates of all 4 atoms:
Ir  0.0000  0.0000  0.0000
Pt  0.0000  0.0000  0.4755
Pt  0.5000  0.5000  0.2290
Au  0.5000  0.5000  0.7406

=====

Entry 17:
Compound: IrPt2Au
Source: the Alexandria database
Functional: PBE
Structure: optimized geometry

Summary:
The calculation puts the energy of formation from the pure elements at 0.214 eV per atom.

Unit cell a=4.8724 b=4.8724 c=4.8724 alpha=131.45 beta=131.45 gamma=71.11
Fractional coordinates of all 4 atoms:
Ir  0.0000  0.0000  0.0000
Pt  0.2500  0.7500  0.5000
Pt  0.5000  0.5000  0.0000
Au  0.7500  0.2500  0.5000

=====

Entry 18:
Compound: IrPt2Au
Source: the Alexandria database
Functional: PBE
Structure: optimized geometry

Summary:
The calculation puts the energy of formation from the pure elements at 0.221 eV per atom.

Unit cell a=2.7891 b=4.8029 c=4.8144 alpha=90.00 beta=90.18 gamma=90.00
Fractional coordinates of all 4 atoms:
Ir  0.0000  0.0000  0.0000
Pt  0.5201  0.0000  0.5109
Pt  0.7611  0.5000  0.7737
Au  0.2481  0.5000  0.2680

=====

Entry 19:
Compound: IrPtAu
Source: the Alexandria database
Functional: PBE
Structure: optimized geometry

Summary:
The calculation puts the energy of formation from the pure elements at 0.361 eV per atom.

Unit cell a=4.5443 b=4.5443 c=2.7491 alpha=90.00 beta=90.00 gamma=120.00
Fractional coordinates of all 3 atoms:
Ir  0.0000  0.0000  0.0000
Pt  0.6667  0.3333  0.0000
Au  0.3333  0.6667  0.5000

=====

Entry 20:
Compound: IrPtAu4
Source: the Alexandria database
Functional: PBE
Structure: optimized geometry

Summary:
The calculation puts the energy of formation from the pure elements at 0.672 eV per atom.

Unit cell a=5.3653 b=5.3653 c=5.3653 alpha=60.00 beta=60.00 gamma=60.00
Fractional coordinates of all 6 atoms:
Ir  0.0000  0.0000  0.0000
Pt  0.2500  0.2500  0.2500
Au  0.1248  0.6251  0.6251
Au  0.6251  0.1248  0.6251
Au  0.6251  0.6251  0.1248
Au  0.6251  0.6251  0.6251